# SbAs3 | Alexandria via LeMat-Bulk | GGA-PBE | optimized geometry
data_SbAs3
_symmetry_space_group_name_H-M 'P 1'
_symmetry_Int_Tables_number 1
_symmetry_space_group_name_Hall 'P 1'
_cell_length_a 4.3945
_cell_length_b 7.8429
_cell_length_c 17.1014
_cell_angle_alpha 90.00
_cell_angle_beta 90.00
_cell_angle_gamma 90.00
loop_
_atom_site_label
_atom_site_type_symbol
_atom_site_fract_x
_atom_site_fract_y
_atom_site_fract_z
_atom_site_occupancy
As1 As 0.0424 0.9935 0.4167 1
As2 As 0.0424 0.9935 0.0833 1
As3 As 0.0445 0.9935 0.7500 1
As4 As 0.9555 0.0065 0.2500 1
As5 As 0.9576 0.0065 0.9167 1
As6 As 0.9576 0.0065 0.5833 1
As7 As 0.5799 0.2500 0.2500 1
As8 As 0.5819 0.2500 0.9167 1
As9 As 0.5819 0.2500 0.5833 1
As10 As 0.0424 0.5065 0.4167 1
As11 As 0.0424 0.5065 0.0833 1
As12 As 0.0445 0.5065 0.7500 1
As13 As 0.9555 0.4935 0.2500 1
As14 As 0.9576 0.4935 0.9167 1
As15 As 0.9576 0.4935 0.5833 1
As16 As 0.4201 0.7500 0.7500 1
As17 As 0.4181 0.7500 0.4167 1
As18 As 0.4181 0.7500 0.0833 1
Sb1 Sb 0.4577 0.2500 0.7500 1
Sb2 Sb 0.4558 0.2500 0.4167 1
Sb3 Sb 0.4558 0.2500 0.0833 1
Sb4 Sb 0.5423 0.7500 0.2500 1
Sb5 Sb 0.5442 0.7500 0.9167 1
Sb6 Sb 0.5442 0.7500 0.5833 1
# **Fermi-level density of states**: 2.23 states/eV/cell
# **Magnetic moment**: 0.00 μB per atom
# **E above lowest polymorph**: 14 meV per atom